Dy4Ga2H: optimized geometry, PBE.

Cell and atoms, written as POSCAR:
```
Dy4Ga2H
1.0
4.4764 0.0000 0.0000
0.0000 4.4764 0.0000
-2.2382 -2.2382 8.0077
H Ga Dy
1 2 4
Cartesian
0.0000 0.0000 0.0000 H
2.2382 2.2382 2.1317 Ga
0.0000 0.0000 5.8760 Ga
2.2382 2.2382 5.1130 Dy
0.0000 0.0000 2.8946 Dy
0.0000 2.2382 0.0000 Dy
2.2382 0.0000 0.0000 Dy
```

Results
- offset from the most stable computed form (meV/atom) = 52
- SG = I4/mmm (139)
- total moment (μB per formula unit) = 0.0
- D(E_F) (states/eV/atom) = 0.80



Ce3ZnPb: optimized geometry, PBE.

Cell and atoms, written as POSCAR:
```
Ce3ZnPb
1.0
-1.7467 -5.1388 -5.0489
3.6739 -5.1042 3.9241
-6.1968 -1.5777 3.7496
Ce Zn Pb
9 3 3
Cartesian
-2.1348 -5.9104 1.3124 Ce
-0.9545 -2.6428 0.5868 Ce
0.1110 -8.3057 -0.0350 Ce
-5.3462 -6.3561 -0.1315 Ce
-2.3494 -6.3369 4.8293 Ce
-4.3805 -3.5150 2.6598 Ce
-3.3150 -9.1780 2.0380 Ce
1.0766 -5.4647 2.7563 Ce
-1.9202 -5.4838 -2.2045 Ce
-0.8733 -2.5694 -2.5245 Zn
1.8370 -2.5521 1.9621 Zn
-3.0984 -0.7889 1.8748 Zn
-1.2614 -3.3410 3.8369 Pb
-3.9718 -3.3583 -0.6496 Pb
0.9636 -5.1215 -0.5624 Pb
```

Results
- SG = Pm-3m (221)
- formation enthalpy at 0 K (eV per atom) = -0.175
- total moment (μB per formula unit) = 3.6
- D(E_F) (states/eV/atom) = 2.89



La2SmDyAs4: optimized geometry, PBE.

Cell and atoms, written as POSCAR:
```
La2SmDyAs4
1.0
-0.3332 -3.6379 -2.2198
5.3635 -3.0011 4.1132
-2.9838 -3.3250 5.8971
La Sm Dy As
2 1 1 4
Cartesian
-2.9838 -3.3250 5.8971 La
-1.6585 -3.4815 1.8387 La
2.5151 -3.3195 0.9467 Sm
1.1898 -3.1631 5.0051 Dy
1.7316 -4.7176 7.4714 As
0.3148 -5.2465 0.3192 As
3.0304 -4.8881 3.4400 As
-0.9840 -5.0759 4.3505 As
```

Results
- SG = P2/m (10)
- formation enthalpy at 0 K (eV per atom) = -1.545
- total moment (μB per formula unit) = 0.0
- D(E_F) (states/eV/atom) = 0.09



CsScTe: optimized geometry, PBE.

Cell and atoms, written as POSCAR:
```
CsScTe
1.0
8.0024 0.0000 0.0000
4.0012 9.0501 -0.7969
4.0012 2.2622 8.7990
Cs Sc Te
6 6 6
Cartesian
7.8853 9.9279 3.4234 Cs
7.8853 1.3844 4.5787 Cs
7.8798 4.7698 -0.2253 Cs
7.8798 6.5425 8.2274 Cs
10.4086 3.9648 6.4040 Cs
10.4086 7.3475 1.5980 Cs
7.8037 5.6562 4.0010 Sc
3.8025 0.0000 0.0000 Sc
9.1836 10.1124 7.0760 Sc
1.1812 1.2000 0.9261 Sc
5.1824 6.9290 4.8241 Sc
5.1824 4.3833 3.1780 Sc
6.0563 7.3643 1.6099 Te
6.0563 3.9481 6.3922 Te
10.0591 7.5446 5.3315 Te
10.0591 3.7678 2.6706 Te
14.0603 9.4290 6.6645 Te
6.0579 1.8834 1.3376 Te
```

Results
- E_tot (eV/atom) = -3.89
- SG = Ima2 (46)
- total moment (μB per formula unit) = 1.6
- D(E_F) (states/eV/atom) = 0.83



Ho5Zn2Ga5: optimized geometry, PBE.

Cell and atoms, written as POSCAR:
```
Ho5Zn2Ga5
1.0
4.3307 0.0000 0.9770
2.3456 7.7496 -0.3106
0.4806 -1.4301 7.9562
Ho Zn Ga
5 2 5
Cartesian
1.4131 3.1598 3.8228 Ho
5.0110 3.8071 8.0478 Ho
1.6133 -0.1036 2.9355 Ho
5.5436 6.4232 5.6871 Ho
2.1459 2.5124 0.5748 Ho
3.2813 1.6844 5.6287 Zn
3.8757 4.6351 2.9939 Zn
3.8898 1.8591 2.9311 Ga
0.9205 0.7326 6.0065 Ga
6.2365 5.5869 2.6161 Ga
3.2671 4.4604 5.6915 Ga
0.0000 0.0000 0.0000 Ga
```

Results
- SG = C2/m (12)
- formation enthalpy at 0 K (eV per atom) = -0.536
- total moment (μB per formula unit) = 0.0
- D(E_F) (states/eV/atom) = 0.41



Ac2BiBPd6: optimized geometry, PBE.

Cell and atoms, written as POSCAR:
```
Ac2BiBPd6
1.0
5.9955 -0.0084 -0.0111
0.0088 7.5807 -1.1087
3.0102 2.9931 4.2378
Ac Bi B Pd
2 1 1 6
Cartesian
6.0041 3.1621 1.9881 Ac
3.0105 7.4033 1.1298 Ac
0.0000 0.0000 0.0000 Bi
3.0022 3.7862 -0.5599 B
3.0062 3.8391 1.5434 Pd
4.5194 5.2443 -0.5187 Pd
1.4888 5.2482 -0.5125 Pd
7.5258 5.3172 3.6305 Pd
4.4951 5.3211 3.6367 Pd
6.0083 6.7263 1.5745 Pd
```

Results
- SG = R-3m (166)
- formation enthalpy at 0 K (eV per atom) = -0.666
- total moment (μB per formula unit) = 0.0
- D(E_F) (states/eV/atom) = 0.33



KAg4F12: optimized geometry, PBE.

Cell and atoms, written as POSCAR:
```
KAg4F12
1.0
7.2794 0.0000 0.0000
-2.4265 6.8631 0.0000
-2.4265 -3.4316 5.9436
K Ag F
1 4 12
Cartesian
0.0000 0.0000 0.0000 K
-1.2132 3.4316 0.0000 Ag
3.6397 0.0000 0.0000 Ag
1.2132 1.7158 2.9718 Ag
-1.2132 -1.7158 2.9718 Ag
4.9343 1.6582 0.0424 F
0.0346 2.4996 1.4149 F
4.8184 -0.9564 4.4864 F
-0.0814 -2.5657 4.5287 F
-2.3919 4.3880 1.4573 F
2.3919 0.9320 4.5287 F
2.3451 0.7924 1.4573 F
0.0814 2.6391 4.4864 F
2.5078 5.9973 1.4149 F
2.4611 3.4071 3.0715 F
-0.0346 0.0245 2.8722 F
-2.5078 1.7733 5.9013 F
```

Results
- E_tot (eV/atom) = -3.35
- SG = Im-3 (204)
- total moment (μB per formula unit) = 0.0
- D(E_F) (states/eV/atom) = 0.38



RbNaAuO2: optimized geometry, PBE.

Cell and atoms, written as POSCAR:
```
RbNaAuO2
1.0
-0.5954 -4.1262 3.7383
-0.9340 -3.5452 -4.0619
6.6573 0.5537 1.6715
Rb Na Au O
2 2 2 4
Cartesian
2.4734 -3.4546 -1.2390 Rb
2.6545 -3.6632 2.5869 Rb
-0.9982 -4.7220 -1.1772 Na
-0.5312 -2.9494 0.8537 Na
0.0000 0.0000 0.0000 Au
-0.4670 -1.7726 -2.0309 Au
3.9757 -5.7558 0.4240 O
0.4083 -5.0533 0.6312 O
4.7195 -2.0645 0.7167 O
1.1522 -1.3620 0.9238 O
```

Results
- E_tot (eV/atom) = -3.92
- SG = Cmme (67)
- total moment (μB per formula unit) = 0.5
- D(E_F) (states/eV/atom) = 1.02